[1]
Density functional theory data (GGA-PBE) for a relaxed CaAl3 crystal.

Lattice parameters (Å, degrees): 3.2690 4.6816 5.6492 90.00 90.00 90.00
Last column: nearest neighbours and their distance in Å.
Space group Pmmm (No. 47)
Asymmetric unit:
Ca 0.0000 0.0000 0.0000 [1 per cell]  12 Al 3.18-3.26, 2 Ca 3.27
Al 0.5000 0.0000 0.5000 [1 per cell]  4 Al 2.74
Al 0.5000 0.5000 0.2494 [2 per cell]  4 Al 2.74-2.83

Results
- Calculated volume: 86 Å³ per cell
- ΔE_f: -0.060 eV/atom
- Density of states at the Fermi level: 2.30 states/eV per cell
- Crystal system: orthorhombic

***

[2]
Density functional theory data (GGA-PBE) for a relaxed CaAl crystal.

Lattice parameters (Å, degrees): 5.0065 3.6818 5.4767 90.00 90.00 90.00
Last column: nearest neighbours and their distance in Å.
Space group Pmma (No. 51)
Asymmetric unit:
Ca 0.2500 0.0000 0.2002 [2 per cell]  8 Al 3.15-3.46, 2 Ca 3.33
Al 0.2500 0.5000 0.6660 [2 per cell]  2 Al 3.09, 8 Ca 3.15-3.46

Results
- Calculated volume: 101 Å³ per cell
- ΔE_f: -0.202 eV/atom
- Density of states at the Fermi level: 1.35 states/eV per cell
- Crystal system: orthorhombic

***

[3]
Density functional theory data (GGA-PBE) for a relaxed CaAl crystal.

Lattice parameters (Å, degrees): 3.8704 3.8704 9.3122 90.00 90.00 120.00
Last column: nearest neighbours and their distance in Å.
Space group P-3m1 (No. 164)
Asymmetric unit:
Ca 0.3333 0.6667 0.1776 [2 per cell]  3 Al 3.17
Al 0.3333 0.6667 0.5804 [2 per cell]  3 Al 2.69

Results
- Calculated volume: 121 Å³ per cell
- ΔE_f: 0.050 eV/atom
- Density of states at the Fermi level: 3.36 states/eV per cell
- Crystal system: trigonal

***

[4]
Density functional theory data (GGA-PBE) for a relaxed CaAl crystal.

Lattice parameters (Å, degrees): 9.1620 9.1620 9.1620 90.00 90.00 90.00
Last column: nearest neighbours and their distance in Å.
Space group I-43m (No. 217)
Asymmetric unit:
Ca 0.2047 0.2047 0.7953 [8 per cell]  4 Al 3.04-3.11
Al 0.1040 0.1040 0.1040 [8 per cell]  3 Al 2.69

Results
- Calculated volume: 769 Å³ per cell
- ΔE_f: 0.260 eV/atom
- Density of states at the Fermi level: 0.14 states/eV per cell
- Crystal system: cubic

***

[5]
Density functional theory data (GGA-PBE) for a relaxed Ca6Al7 crystal.

Lattice parameters (Å, degrees): 5.8724 5.8724 32.0496 90.00 90.00 120.00
Last column: nearest neighbours and their distance in Å.
Space group R-3m (No. 166, hexagonal axes)
Asymmetric unit:
Ca 0.0000 0.0000 0.0541 [6 per cell]  2 Ca 3.16-3.47, 6 Al 3.21
Ca 0.0000 0.0000 0.1527 [6 per cell]  4 Ca 3.16-3.51, 12 Al 3.25-3.48
Ca 0.0000 0.0000 0.3357 [6 per cell]  6 Ca 3.39-3.77, 6 Al 3.40-3.53
Al 0.0000 0.0000 0.5000 [3 per cell]  6 Al 2.87
Al 0.0004 0.5002 0.0942 [18 per cell]  5 Al 2.87-2.94, 2 Ca 3.21

Results
- Calculated volume: 957 Å³ per cell
- ΔE_f: -0.216 eV/atom
- Density of states at the Fermi level: 13.16 states/eV per cell
- Crystal system: trigonal

***

[6]
Density functional theory data (GGA-PBE) for a relaxed Ca3Al crystal.

Lattice parameters (Å, degrees): 3.9088 11.9689 5.7372 90.00 90.00 90.00
Last column: nearest neighbours and their distance in Å.
Space group Imm2 (No. 44)
Asymmetric unit:
Ca 0.0000 0.0000 0.0000 [2 per cell]  4 Al 3.47-3.48, 4 Ca 3.79-3.80
Ca 0.0000 0.2071 0.5010 [4 per cell]  2 Al 3.16
Al 0.0000 0.5000 0.9991 [2 per cell]  8 Ca 3.16-3.48

Results
- Calculated volume: 268 Å³ per cell
- ΔE_f: -0.044 eV/atom
- Density of states at the Fermi level: 9.20 states/eV per cell
- Crystal system: orthorhombic

***

[7]
Density functional theory data (GGA-PBE) for a relaxed Ca7Al2Cd2 crystal.

Lattice parameters (Å, degrees): 7.8220 11.6370 8.2355 90.00 90.00 90.00
Last column: nearest neighbours and their distance in Å.
Space group Cmmm (No. 65)
Asymmetric unit:
Ca 0.0000 0.0000 0.0000 [2 per cell]  2 Cd 3.50
Ca 0.0000 0.5000 0.2750 [4 per cell]  2 Al 3.21, 2 Cd 3.24, 4 Ca 3.51
Ca 0.2500 0.2500 0.2927 [8 per cell]  2 Cd 3.16, 3 Ca 3.41-3.51, 2 Al 3.44
Al 0.1649 0.0000 0.5000 [4 per cell]  1 Al 2.58
Cd 0.0000 0.3011 0.0000 [4 per cell]  7 Ca 3.16-3.50

Results
- Calculated volume: 750 Å³ per cell
- ΔE_f: -0.029 eV/atom
- ΔE to the lowest computed polymorph: 0.147 eV per atom
- Density of states at the Fermi level: 20.25 states/eV per cell
- Crystal system: orthorhombic

***

[8]
Density functional theory data (GGA-PBE) for a relaxed CaAlCd11 crystal.

Lattice parameters (Å, degrees): 5.9943 14.0787 7.6380 90.00 112.25 90.00
Last column: nearest neighbours and their distance in Å.
Space group C2/m (No. 12)
Asymmetric unit:
Ca 0.0000 0.0000 0.0000 [2 per cell]  18 Cd 3.50-3.83, 2 Al 3.86
Al 0.0000 0.5000 0.5000 [2 per cell]  10 Cd 2.88-3.05
Cd 0.0000 0.0000 0.5000 [2 per cell]  8 Cd 2.95-3.06, 2 Al 3.00
Cd 0.1017 0.3934 0.2170 [8 per cell]  1 Al 2.88, 7 Cd 2.94-3.21
Cd 0.1815 0.1739 0.3532 [8 per cell]  7 Cd 2.98-3.24, 1 Al 3.05
Cd 0.2500 0.2500 0.0000 [4 per cell]  10 Cd 2.94-3.14

Results
- Calculated volume: 597 Å³ per cell
- ΔE_f: -0.070 eV/atom
- Density of states at the Fermi level: 6.72 states/eV per cell
- Crystal system: monoclinic

***

[9]
Density functional theory data (GGA-PBE) for a relaxed Ca2AlCd2 crystal.

Lattice parameters (Å, degrees): 4.0147 4.0147 18.3449 90.00 90.00 90.00
Last column: nearest neighbours and their distance in Å.
Space group I4/mmm (No. 139)
Asymmetric unit:
Ca 0.0000 0.0000 0.0961 [4 per cell]  4 Al 3.34, 4 Cd 3.46, 1 Ca 3.53
Al 0.0000 0.0000 0.5000 [2 per cell]  8 Ca 3.34
Cd 0.0000 0.5000 0.2500 [4 per cell]  4 Cd 2.84

Results
- Calculated volume: 296 Å³ per cell
- ΔE_f: -0.056 eV/atom
- ΔE to the lowest computed polymorph: 0.149 eV per atom
- Density of states at the Fermi level: 6.57 states/eV per cell
- Crystal system: tetragonal

***

[10]
Density functional theory data (GGA-PBE) for a relaxed Ca3Al2Cd3 crystal.

Lattice parameters (Å, degrees): 4.7094 11.4575 15.5534 90.00 90.00 90.00
Last column: nearest neighbours and their distance in Å.
Space group Cmcm (No. 63)
Asymmetric unit:
Ca 0.0000 0.0843 0.1069 [8 per cell]  7 Cd 3.29-3.57, 4 Al 3.34-3.52
Ca 0.0000 0.3686 0.2500 [4 per cell]  5 Cd 3.29-3.38, 4 Al 3.42
Al 0.0000 0.2072 0.6004 [8 per cell]  4 Cd 2.74-2.95
Cd 0.0000 0.3425 0.7500 [4 per cell]  2 Al 2.80
Cd 0.0000 0.3819 0.0389 [8 per cell]  3 Al 2.74-2.95, 1 Cd 2.96

Results
- Calculated volume: 839 Å³ per cell
- ΔE_f: -0.286 eV/atom
- Density of states at the Fermi level: 16.75 states/eV per cell
- Crystal system: orthorhombic

***

[11]
Density functional theory data (GGA-PBE) for a relaxed Ca5Al2Cd2 crystal.

Lattice parameters (Å, degrees): 16.6136 8.1511 8.1941 90.00 90.00 90.00
Last column: nearest neighbours and their distance in Å.
Space group Cmce (No. 64)
Asymmetric unit:
Ca 0.0000 0.0000 0.0000 [4 per cell]  4 Al 3.29-3.30, 2 Cd 3.51
Ca 0.1326 0.1795 0.3232 [16 per cell]  3 Cd 3.26-3.31, 3 Al 3.27-3.29
Al 0.0000 0.1113 0.6134 [8 per cell]  1 Al 2.60
Cd 0.2112 0.0000 0.0000 [8 per cell]  7 Ca 3.26-3.51

Results
- Calculated volume: 1110 Å³ per cell
- ΔE_f: -0.199 eV/atom
- Density of states at the Fermi level: 34.99 states/eV per cell
- Crystal system: orthorhombic

***

[12]
Density functional theory data (GGA-PBE) for a relaxed CaAl4Cd crystal.

Lattice parameters (Å, degrees): 7.9213 7.9213 7.9213 90.00 90.00 90.00
Last column: nearest neighbours and their distance in Å.
Space group F-43m (No. 216)
Asymmetric unit:
Ca 0.0000 0.0000 0.0000 [4 per cell]  12 Al 3.28, 4 Cd 3.43
Al 0.1252 0.1252 0.3748 [16 per cell]  6 Al 2.80-2.81
Cd 0.2500 0.2500 0.7500 [4 per cell]  12 Al 3.28, 4 Ca 3.43

Results
- Calculated volume: 497 Å³ per cell
- ΔE_f: -0.065 eV/atom
- Density of states at the Fermi level: 11.65 states/eV per cell
- Crystal system: cubic

***

[13]
Density functional theory data (GGA-PBE) for a relaxed Ca7Al2Cd2 crystal.

Lattice parameters (Å, degrees): 7.8706 10.4624 8.6998 90.00 98.50 90.00
Last column: nearest neighbours and their distance in Å.
Space group C2/m (No. 12)
Asymmetric unit:
Ca 0.0000 0.0000 0.0000 [2 per cell]  2 Al 3.07
Ca 0.1991 0.3012 0.1969 [8 per cell]  2 Al 3.21-3.34, 2 Cd 3.30-3.32
Ca 0.2480 0.0000 0.4281 [4 per cell]  1 Al 3.18, 4 Cd 3.29-3.38
Al 0.1098 0.5000 0.8953 [4 per cell]  1 Al 2.69
Cd 0.0000 0.2392 0.5000 [4 per cell]  8 Ca 3.29-3.38

Results
- Calculated volume: 709 Å³ per cell
- ΔE_f: -0.175 eV/atom
- ΔE to the lowest computed polymorph: 0.000 eV per atom
- Density of states at the Fermi level: 19.26 states/eV per cell
- Crystal system: monoclinic

***

[14]
Density functional theory data (GGA-PBE) for a relaxed Ca3AlCd3 crystal.

Lattice parameters (Å, degrees): 11.6069 4.5713 15.8137 90.00 109.04 90.00
Last column: nearest neighbours and their distance in Å.
Space group C2/m (No. 12)
Asymmetric unit:
Ca 0.0313 0.0000 0.3882 [4 per cell]  7 Cd 3.27-3.65, 4 Al 3.32-3.58
Ca 0.1053 0.0000 0.9185 [4 per cell]  7 Cd 3.26-3.42
Ca 0.2502 0.0000 0.2361 [4 per cell]  6 Cd 3.32-3.38, 2 Al 3.42
Al 0.2411 0.5000 0.3949 [4 per cell]  4 Cd 2.71-2.96
Cd 0.0372 0.5000 0.2388 [4 per cell]  1 Al 2.81, 1 Cd 2.94
Cd 0.1123 0.5000 0.0784 [4 per cell]  2 Cd 2.94-2.95, 1 Ca 3.26
Cd 0.1363 0.5000 0.5421 [4 per cell]  3 Al 2.71-2.96, 1 Cd 3.01

Results
- Calculated volume: 793 Å³ per cell
- ΔE_f: -0.284 eV/atom
- Density of states at the Fermi level: 18.24 states/eV per cell
- Crystal system: monoclinic

***

[15]
Density functional theory data (GGA-PBE) for a relaxed Ca2AlCd2 crystal.

Lattice parameters (Å, degrees): 7.6153 7.6153 4.6744 90.00 90.00 90.00
Last column: nearest neighbours and their distance in Å.
Space group P4/mbm (No. 127)
Asymmetric unit:
Ca 0.1738 0.3262 0.0000 [4 per cell]  6 Cd 3.12-3.32
Al 0.0000 0.0000 0.5000 [2 per cell]  4 Cd 2.97
Cd 0.1337 0.6337 0.5000 [4 per cell]  1 Cd 2.88, 2 Al 2.97, 2 Ca 3.12

Results
- Calculated volume: 271 Å³ per cell
- ΔE_f: -0.204 eV/atom
- ΔE to the lowest computed polymorph: 0.000 eV per atom
- Density of states at the Fermi level: 6.28 states/eV per cell
- Crystal system: tetragonal

***

[16]
Density functional theory data (GGA-PBE) for a relaxed Ca5Al2Cd crystal.

Lattice parameters (Å, degrees): 8.1897 8.1897 15.0839 90.00 90.00 90.00
Last column: nearest neighbours and their distance in Å.
Space group I4/mcm (No. 140)
Asymmetric unit:
Ca 0.0000 0.0000 0.0000 [4 per cell]  4 Al 3.29
Ca 0.1711 0.3289 0.1426 [16 per cell]  3 Al 3.21-3.28, 2 Cd 3.44
Al 0.1150 0.3850 0.5000 [8 per cell]  1 Al 2.66
Cd 0.0000 0.0000 0.2500 [4 per cell]  10 Ca 3.44-3.77

Results
- Calculated volume: 1012 Å³ per cell
- ΔE_f: -0.214 eV/atom
- Density of states at the Fermi level: 33.18 states/eV per cell
- Crystal system: tetragonal

***

[17]
Density functional theory data (GGA-PBE) for a relaxed Ca2Al2Cd crystal.

Lattice parameters (Å, degrees): 4.6813 4.6813 13.1729 90.00 90.00 90.00
Last column: nearest neighbours and their distance in Å.
Space group I4/mmm (No. 139)
Asymmetric unit:
Ca 0.0000 0.5000 0.2500 [4 per cell]  4 Al 3.13, 4 Ca 3.31
Al 0.0000 0.0000 0.0926 [4 per cell]  1 Al 2.44
Cd 0.0000 0.0000 0.5000 [2 per cell]  8 Al 3.53

Results
- Calculated volume: 289 Å³ per cell
- ΔE_f: 0.202 eV/atom
- Density of states at the Fermi level: 5.21 states/eV per cell
- Crystal system: tetragonal

***

[18]
Density functional theory data (GGA-PBE) for a relaxed Ca2AlCd2 crystal.

Lattice parameters (Å, degrees): 8.5772 8.5772 3.9402 90.00 90.00 90.00
Last column: nearest neighbours and their distance in Å.
Space group P4/mbm (No. 127)
Asymmetric unit:
Ca 0.1589 0.3411 0.0000 [4 per cell]  6 Cd 3.16-3.22, 2 Al 3.23
Al 0.0000 0.0000 0.0000 [2 per cell]  4 Ca 3.23
Cd 0.1377 0.6377 0.5000 [4 per cell]  6 Ca 3.16-3.22, 1 Cd 3.34

Results
- Calculated volume: 290 Å³ per cell
- ΔE_f: 0.005 eV/atom
- ΔE to the lowest computed polymorph: 0.209 eV per atom
- Density of states at the Fermi level: 5.54 states/eV per cell
- Crystal system: tetragonal

***

[19]
Density functional theory data (GGA-PBE) for a relaxed Ca4AlCd3 crystal.

Lattice parameters (Å, degrees): 5.3783 5.3783 26.5168 90.00 90.00 120.00
Last column: nearest neighbours and their distance in Å.
Space group R-3m (No. 166, hexagonal axes)
Asymmetric unit:
Ca 0.0000 0.0000 0.1233 [6 per cell]  1 Al 3.27, 7 Cd 3.28-3.36
Ca 0.0000 0.0000 0.3735 [6 per cell]  5 Cd 3.27-3.36, 3 Al 3.28
Al 0.0000 0.0000 0.0000 [3 per cell]  8 Ca 3.27-3.28
Cd 0.0000 0.0000 0.2500 [6 per cell]  8 Ca 3.27-3.36
Cd 0.0000 0.0000 0.5000 [3 per cell]  8 Ca 3.31-3.36

Results
- Calculated volume: 664 Å³ per cell
- ΔE_f: -0.320 eV/atom
- Density of states at the Fermi level: 15.98 states/eV per cell
- Crystal system: trigonal

***

[20]
Density functional theory data (GGA-PBE) for a relaxed Ca6AlCd5 crystal.

Lattice parameters (Å, degrees): 5.3513 16.0350 7.7947 90.00 90.00 90.00
Last column: nearest neighbours and their distance in Å.
Space group Cmmm (No. 65)
Asymmetric unit:
Ca 0.0000 0.0000 0.2472 [4 per cell]  6 Cd 3.26-3.32, 2 Al 3.30
Ca 0.0000 0.3347 0.2481 [8 per cell]  1 Al 3.28, 7 Cd 3.30-3.35
Al 0.0000 0.5000 0.0000 [2 per cell]  8 Ca 3.28-3.30
Cd 0.0000 0.1643 0.0000 [4 per cell]  8 Ca 3.26-3.35
Cd 0.0000 0.1669 0.5000 [4 per cell]  8 Ca 3.32-3.33
Cd 0.0000 0.5000 0.5000 [2 per cell]  8 Ca 3.30-3.32

Results
- Calculated volume: 669 Å³ per cell
- ΔE_f: -0.333 eV/atom
- Density of states at the Fermi level: 15.02 states/eV per cell
- Crystal system: orthorhombic